No. 1
A relaxed structure of TbHgPb3, computed with PBE.

Computed properties:
Space group: Cmcm
Crystal system: orthorhombic
Energy of formation from the pure elements in meV per atom: -17
Polymorph energy (0 for the lowest one) in kJ/mol of formula units: 35

abc: 6.357 7.406 7.407
angles: 102.62 90.00 90.00
Sites, in units of the cell vectors:
Pb (0.250, 0.938, 0.391)
Tb (0.250, 0.239, 0.761)
Pb (0.750, 0.062, 0.609)
Pb (0.500, 0.000, 0.000)
Hg (0.250, 0.508, 0.492)
Pb (0.250, 0.609, 0.062)
Tb (0.750, 0.761, 0.239)
Pb (0.750, 0.391, 0.938)
Pb (0.000, 0.000, 0.000)
Hg (0.750, 0.492, 0.508)



No. 2
A relaxed structure of GeHN2F, computed with PBE.

Computed properties:
Space group: P4/mmm
Crystal system: tetragonal
Polymorph energy (0 for the lowest one) in kJ/mol of formula units: 18

abc: 3.126 3.126 4.674
angles: 90.00 90.00 90.00
Sites, in units of the cell vectors:
N (0.000, 0.500, 0.000)
F (0.000, 0.000, 0.500)
Ge (0.500, 0.500, 0.500)
N (0.500, 0.000, 0.000)
H (0.000, 0.000, 0.000)



No. 3
A relaxed structure of NdPu2Pa, computed with PBE.

Computed properties:
Space group: R-3m
Crystal system: trigonal
Energy of formation from the pure elements in meV per atom: 781
Polymorph energy (0 for the lowest one) in kJ/mol of formula units: 250

abc: 3.961 3.961 9.283
angles: 77.68 77.68 60.00
Sites, in units of the cell vectors:
Nd (0.000, 0.000, 0.000)
Pa (0.500, 0.500, 0.500)
Pu (0.114, 0.114, 0.659)
Pu (0.886, 0.886, 0.341)